Crystalline Rb2GaCl at its relaxed geometry, computed with PBE-GGA.

Results
ΔE_f (raw) ... -44 kJ per mole of atoms
DOS(E_F) ... 1.58 states/eV per atom
Final energy ... -2.16 eV per atom

```
Rb2GaCl
1.0
2.5417 1.8258 5.2369
-3.0528 -0.6074 5.2470
1.8017 -4.1255 4.1174
Ga Rb Cl
1 2 1
Cartesian
0.6453 -1.4535 7.3007
0.3226 -0.7268 3.6503
0.9679 -2.1803 10.9510
0.0000 0.0000 0.0000
```